(1)
Ta6ReW5 | GGA-PBE | optimized geometry

Lattice parameters (Å, degrees): 7.9258 7.9258 7.9258 146.53 131.80 59.96
Closest atoms and distances in Å follow each position.
Atoms (fractional coordinates):
Ta (0.0832, 0.3341, 0.7491)  1 Re 2.79, 7 W 2.79-2.81
Ta (0.2484, 0.0000, 0.2484)  2 Re 2.79, 6 W 2.80-2.81
Ta (0.4151, 0.6659, 0.7491)  1 Re 2.79, 7 W 2.79-2.81
Ta (0.5849, 0.3341, 0.2509)  1 Re 2.79, 7 W 2.79-2.81
Ta (0.7516, 0.0000, 0.7516)  2 Re 2.79, 6 W 2.80-2.81
Ta (0.9168, 0.6659, 0.2509)  1 Re 2.79, 7 W 2.79-2.81
Re (0.0000, 0.5000, 0.5000)  8 Ta 2.79
W (0.1669, 0.1669, 0.0000)  8 Ta 2.79-2.81
W (0.3337, 0.8337, 0.5000)  8 Ta 2.80-2.81
W (0.5000, 0.5000, 0.0000)  8 Ta 2.80
W (0.6663, 0.1663, 0.5000)  8 Ta 2.80-2.81
W (0.8331, 0.8331, 0.0000)  8 Ta 2.79-2.81

Summary:
**E_form**: -169 meV per atom
**Symmetry**: Immm



(2)
TaRe2W | GGA-PBE | optimized geometry

Lattice parameters (Å, degrees): 3.1634 4.4638 4.5259 90.00 90.00 90.00
Closest atoms and distances in Å follow each position.
Atoms (fractional coordinates):
Ta (0.0000, 0.0000, 0.0000)  4 Re 2.74, 4 W 2.76
Re (0.0000, 0.5000, 0.5000)  4 W 2.74, 4 Re 2.76
Re (0.5000, 0.5000, 0.0000)  4 Ta 2.74, 4 Re 2.76
W (0.5000, 0.0000, 0.5000)  4 Re 2.74, 4 Ta 2.76

Summary:
**E_form**: -67 meV per atom
**Energy above the lowest structure with this stoichiometry**: 100 meV/atom
**Symmetry**: Pmmm



(3)
TaRe2W | GGA-PBE | optimized geometry

Lattice parameters (Å, degrees): 5.7749 5.7749 5.7749 102.29 102.29 125.04
Closest atoms and distances in Å follow each position.
Atoms (fractional coordinates):
Ta (0.0000, 0.0000, 0.0000)  2 W 2.66, 4 Re 2.71
Ta (0.7500, 0.2500, 0.5000)  2 W 2.66, 4 Re 2.71
Re (0.1368, 0.6250, 0.0118)  2 W 2.59, 2 Re 2.67, 2 Ta 2.71
Re (0.3750, 0.3868, 0.5118)  2 W 2.59, 2 Re 2.67, 2 Ta 2.71
Re (0.6132, 0.1250, 0.9882)  2 W 2.59, 2 Re 2.67, 2 Ta 2.71
Re (0.8750, 0.8632, 0.4882)  2 W 2.59, 2 Re 2.67, 2 Ta 2.71
W (0.2500, 0.7500, 0.5000)  4 Re 2.59, 2 Ta 2.66
W (0.5000, 0.5000, 0.0000)  4 Re 2.59, 2 Ta 2.66

Summary:
**E_form**: 830 meV per atom
**Energy above the lowest structure with this stoichiometry**: 997 meV/atom
**Symmetry**: I-42d



(4)
Ta4ReW | GGA-PBE | optimized geometry

Lattice parameters (Å, degrees): 5.5016 5.5016 4.4168 90.00 90.00 90.47
Closest atoms and distances in Å follow each position.
Atoms (fractional coordinates):
Ta (0.1776, 0.8224, 0.0000)  1 W 2.52, 2 Re 2.61, 1 Ta 2.78
Ta (0.3184, 0.3184, 0.5000)  1 Re 2.47, 2 W 2.62
Ta (0.6816, 0.6816, 0.5000)  1 Re 2.47, 2 W 2.62
Ta (0.8224, 0.1776, 0.0000)  1 W 2.52, 2 Re 2.61, 1 Ta 2.78
Re (0.0000, 0.0000, 0.5000)  6 Ta 2.47-2.61
W (0.5000, 0.5000, 0.0000)  6 Ta 2.52-2.62

Summary:
**E_form**: 1298 meV per atom
**Energy above the lowest structure with this stoichiometry**: 1513 meV/atom
**Symmetry**: Cmmm



(5)
Ta3ReW2 | GGA-PBE | optimized geometry

Lattice parameters (Å, degrees): 3.2266 3.2266 9.6947 90.00 90.00 90.00
Closest atoms and distances in Å follow each position.
Atoms (fractional coordinates):
Ta (0.0000, 0.0000, 0.0000)  8 W 2.80
Ta (0.0000, 0.0000, 0.3359)  4 Re 2.78, 4 W 2.81
Ta (0.0000, 0.0000, 0.6641)  4 Re 2.78, 4 W 2.81
Re (0.5000, 0.5000, 0.5000)  8 Ta 2.78
W (0.5000, 0.5000, 0.1675)  8 Ta 2.80-2.81
W (0.5000, 0.5000, 0.8325)  8 Ta 2.80-2.81

Summary:
**E_form**: -226 meV per atom
**Symmetry**: P4/mmm



(6)
TaRe2W | GGA-PBE | optimized geometry

Lattice parameters (Å, degrees): 3.1697 3.1697 6.3876 90.00 90.00 90.00
Closest atoms and distances in Å follow each position.
Atoms (fractional coordinates):
Ta (0.0000, 0.0000, 0.0000)  4 Re 2.72, 4 W 2.81
Re (0.0000, 0.0000, 0.4985)  4 W 2.69, 4 Re 2.80
Re (0.5000, 0.5000, 0.7601)  4 Ta 2.72, 4 Re 2.80
W (0.5000, 0.5000, 0.2653)  4 Re 2.69, 4 Ta 2.81

Summary:
**E_form**: -57 meV per atom
**Energy above the lowest structure with this stoichiometry**: 110 meV/atom
**Symmetry**: P4mm



(7)
TaRe2W | GGA-PBE | optimized geometry

Lattice parameters (Å, degrees): 5.2521 5.2521 2.7610 100.44 100.44 116.63
Closest atoms and distances in Å follow each position.
Atoms (fractional coordinates):
Ta (0.0000, 0.0000, 0.0000)  4 Re 2.74, 2 W 2.76, 2 Ta 2.76
Re (0.0000, 0.5000, 0.5000)  2 Ta 2.74, 2 W 2.74, 4 Re 2.76
Re (0.5000, 0.0000, 0.5000)  2 Ta 2.74, 2 W 2.74, 4 Re 2.76
W (0.5000, 0.5000, 0.0000)  4 Re 2.74, 2 Ta 2.76, 2 W 2.76

Summary:
**E_form**: -55 meV per atom
**Energy above the lowest structure with this stoichiometry**: 113 meV/atom
**Symmetry**: C2/m



(8)
TaRe2W | GGA-PBE | optimized geometry

Lattice parameters (Å, degrees): 2.7673 4.4836 5.2538 90.00 100.82 90.00
Closest atoms and distances in Å follow each position.
Atoms (fractional coordinates):
Ta (0.0000, 0.0000, 0.0000)  4 Re 2.71-2.74, 2 Ta 2.77, 2 W 2.80
Re (0.2369, 0.5000, 0.7620)  2 W 2.70-2.76, 2 Ta 2.71, 4 Re 2.77-2.81
Re (0.5150, 0.0000, 0.4992)  2 W 2.69, 2 Ta 2.72-2.74, 4 Re 2.77-2.81
W (0.7508, 0.5000, 0.2661)  4 Re 2.69-2.76, 2 W 2.77, 2 Ta 2.80

Summary:
**E_form**: -54 meV per atom
**Energy above the lowest structure with this stoichiometry**: 114 meV/atom
**Symmetry**: Pm



(9)
TaRe2W | GGA-PBE | optimized geometry

Lattice parameters (Å, degrees): 3.1702 3.1702 6.3618 90.00 90.00 90.00
Closest atoms and distances in Å follow each position.
Atoms (fractional coordinates):
Ta (0.0000, 0.0000, 0.0000)  8 Re 2.76
Re (0.5000, 0.5000, 0.2525)  4 W 2.74, 4 Ta 2.76
Re (0.5000, 0.5000, 0.7475)  4 W 2.74, 4 Ta 2.76
W (0.0000, 0.0000, 0.5000)  8 Re 2.74

Summary:
**E_form**: -167 meV per atom
**Energy above the lowest structure with this stoichiometry**: 0 meV/atom
**Symmetry**: P4/mmm



(10)
TaRe2W | GGA-PBE | optimized geometry

Lattice parameters (Å, degrees): 2.7635 2.7635 8.9234 90.00 90.00 110.25
Closest atoms and distances in Å follow each position.
Atoms (fractional coordinates):
Ta (0.0000, 0.0000, 0.0000)  4 Re 2.76, 4 Ta 2.76
Re (0.5000, 0.5000, 0.2530)  2 W 2.71, 2 Ta 2.76, 4 Re 2.76
Re (0.5000, 0.5000, 0.7470)  2 W 2.71, 2 Ta 2.76, 4 Re 2.76
W (0.0000, 0.0000, 0.5000)  4 Re 2.71, 4 W 2.76

Summary:
**E_form**: -26 meV per atom
**Energy above the lowest structure with this stoichiometry**: 142 meV/atom
**Symmetry**: Cmmm



(11)
TaRe4W | GGA-PBE | optimized geometry

Lattice parameters (Å, degrees): 5.1674 5.1674 5.1674 60.00 60.00 60.00
Closest atoms and distances in Å follow each position.
Atoms (fractional coordinates):
Ta (0.0000, 0.0000, 0.0000)  12 Re 3.03, 4 W 3.16
Re (0.3745, 0.3745, 0.3745)  6 Re 2.57-2.59
Re (0.3745, 0.3745, 0.8765)  6 Re 2.57-2.59
Re (0.3745, 0.8765, 0.3745)  6 Re 2.57-2.59
Re (0.8765, 0.3745, 0.3745)  6 Re 2.57-2.59
W (0.7500, 0.7500, 0.7500)  12 Re 3.03, 4 Ta 3.16

Summary:
**E_form**: 91 meV per atom
**Symmetry**: F-43m



(12)
TaRe4W2 | GGA-PBE | optimized geometry

Lattice parameters (Å, degrees): 7.1888 7.1888 7.1888 141.86 141.86 55.05
Closest atoms and distances in Å follow each position.
Atoms (fractional coordinates):
Ta (0.0000, 0.0000, 0.0000)  6 Re 2.35-2.55
Re (0.0000, 0.5000, 0.5000)  2 Ta 2.35
Re (0.1998, 0.1998, 0.0000)  1 W 2.39, 1 Ta 2.55
Re (0.5000, 0.0000, 0.5000)  2 Ta 2.35
Re (0.8002, 0.8002, 0.0000)  1 W 2.39, 1 Ta 2.55
W (0.3874, 0.3874, 0.0000)  1 Re 2.39
W (0.6126, 0.6126, 0.0000)  1 Re 2.39

Summary:
**E_form**: 2022 meV per atom
**Symmetry**: I4/mmm



(13)
Ta6Re5W | GGA-PBE | optimized geometry

Lattice parameters (Å, degrees): 7.1782 7.1782 6.4038 90.00 90.00 143.11
Closest atoms and distances in Å follow each position.
Atoms (fractional coordinates):
Ta (0.0000, 0.0000, 0.2495)  6 Re 2.78, 2 W 2.78
Ta (0.0000, 0.0000, 0.7505)  6 Re 2.78, 2 W 2.78
Ta (0.3330, 0.6670, 0.2498)  7 Re 2.77-2.78, 1 W 2.78
Ta (0.3330, 0.6670, 0.7502)  7 Re 2.77-2.78, 1 W 2.78
Ta (0.6670, 0.3330, 0.2498)  7 Re 2.77-2.78, 1 W 2.78
Ta (0.6670, 0.3330, 0.7502)  7 Re 2.77-2.78, 1 W 2.78
Re (0.1672, 0.8328, 0.0000)  8 Ta 2.77-2.78
Re (0.1669, 0.8331, 0.5000)  8 Ta 2.77-2.78
Re (0.5000, 0.5000, 0.0000)  8 Ta 2.78
Re (0.8328, 0.1672, 0.0000)  8 Ta 2.77-2.78
Re (0.8331, 0.1669, 0.5000)  8 Ta 2.77-2.78
W (0.5000, 0.5000, 0.5000)  8 Ta 2.78

Summary:
**E_form**: -375 meV per atom
**Symmetry**: Cmmm



(14)
Ta8ReW2 | GGA-PBE | optimized geometry

Lattice parameters (Å, degrees): 7.6160 7.6160 5.3116 101.85 101.85 41.22
Closest atoms and distances in Å follow each position.
Atoms (fractional coordinates):
Ta (0.0001, 0.0001, 0.2441)  2 Ta 2.59-2.72, 1 W 2.88
Ta (0.9999, 0.9999, 0.7559)  2 Ta 2.59-2.72, 1 W 2.88
Ta (0.0834, 0.5878, 0.4146)  4 Ta 2.66-2.95, 1 Re 2.66, 2 W 2.77-2.85
Ta (0.3951, 0.3951, 0.9472)  5 Ta 2.92-3.10, 3 W 2.95-3.10, 2 Re 2.99-3.07
Ta (0.4122, 0.9166, 0.5854)  4 Ta 2.66-2.95, 1 Re 2.66, 2 W 2.77-2.85
Ta (0.5878, 0.0834, 0.4146)  4 Ta 2.66-2.95, 1 Re 2.66, 2 W 2.77-2.85
Ta (0.6049, 0.6049, 0.0528)  5 Ta 2.92-3.10, 3 W 2.95-3.10, 2 Re 2.99-3.07
Ta (0.9166, 0.4122, 0.5854)  4 Ta 2.66-2.95, 1 Re 2.66, 2 W 2.77-2.85
Re (0.5000, 0.5000, 0.5000)  4 Ta 2.66
W (0.1925, 0.1925, 0.0701)  9 Ta 2.77-3.10
W (0.8075, 0.8075, 0.9299)  9 Ta 2.77-3.10

Summary:
**E_form**: 98 meV per atom
**Symmetry**: C2/m



(15)
TaRe2W | GGA-PBE | optimized geometry

Lattice parameters (Å, degrees): 5.0869 5.0869 5.0869 134.99 134.99 65.54
Closest atoms and distances in Å follow each position.
Atoms (fractional coordinates):
Ta (0.0000, 0.0000, 0.0000)  8 Re 2.75-2.89, 4 W 2.89
Re (0.5000, 0.5000, 0.0000)  4 Ta 2.75, 4 W 2.89, 4 Re 2.89
Re (0.7500, 0.2500, 0.5000)  4 W 2.75, 4 Re 2.89, 4 Ta 2.89
W (0.2500, 0.7500, 0.5000)  8 Re 2.75-2.89, 4 Ta 2.89

Summary:
**E_form**: 164 meV per atom
**Energy above the lowest structure with this stoichiometry**: 331 meV/atom
**Symmetry**: I-4m2



(16)
Ta5ReW2 | GGA-PBE | optimized geometry

Lattice parameters (Å, degrees): 5.5413 10.9002 4.6006 90.00 90.00 90.00
Closest atoms and distances in Å follow each position.
Atoms (fractional coordinates):
Ta (0.0000, 0.0000, 0.0000)  2 Re 2.77, 4 W 2.82, 2 Ta 2.92
Ta (0.1477, 0.2575, 0.0000)  1 Re 2.77, 5 Ta 2.78-2.96, 2 W 2.84
Ta (0.1628, 0.6164, 0.5000)  4 W 2.76-2.83, 2 Re 2.78, 2 Ta 2.96
Ta (0.3372, 0.1164, 0.5000)  4 W 2.76-2.83, 2 Re 2.78, 2 Ta 2.96
Ta (0.3523, 0.7575, 0.0000)  1 Re 2.77, 5 Ta 2.78-2.96, 2 W 2.84
Ta (0.5000, 0.5000, 0.0000)  2 Re 2.77, 4 W 2.82, 2 Ta 2.92
Ta (0.6477, 0.2425, 0.0000)  1 Re 2.77, 5 Ta 2.78-2.96, 2 W 2.84
Ta (0.6628, 0.8836, 0.5000)  4 W 2.76-2.83, 2 Re 2.78, 2 Ta 2.96
Ta (0.8372, 0.3836, 0.5000)  4 W 2.76-2.83, 2 Re 2.78, 2 Ta 2.96
Ta (0.8523, 0.7425, 0.0000)  1 Re 2.77, 5 Ta 2.78-2.96, 2 W 2.84
Re (0.0000, 0.5000, 0.0000)  8 Ta 2.77-2.78
Re (0.5000, 0.0000, 0.0000)  8 Ta 2.77-2.78
W (0.1644, 0.8758, 0.5000)  8 Ta 2.76-2.84
W (0.3356, 0.3758, 0.5000)  8 Ta 2.76-2.84
W (0.6644, 0.6242, 0.5000)  8 Ta 2.76-2.84
W (0.8356, 0.1242, 0.5000)  8 Ta 2.76-2.84

Summary:
**E_form**: -66 meV per atom
**Symmetry**: Pbam



(17)
Ta3ReW2 | GGA-PBE | optimized geometry

Lattice parameters (Å, degrees): 7.2215 7.2215 6.4655 90.00 90.00 143.22
Closest atoms and distances in Å follow each position.
Atoms (fractional coordinates):
Ta (0.0000, 0.0000, 0.2484)  6 W 2.79-2.81, 2 Re 2.79
Ta (0.0000, 0.0000, 0.7516)  6 W 2.79-2.81, 2 Re 2.79
Ta (0.3327, 0.6673, 0.2478)  3 Re 2.78-2.79, 5 W 2.80-2.81
Ta (0.3327, 0.6673, 0.7522)  3 Re 2.78-2.79, 5 W 2.80-2.81
Ta (0.6673, 0.3327, 0.2478)  3 Re 2.78-2.79, 5 W 2.80-2.81
Ta (0.6673, 0.3327, 0.7522)  3 Re 2.78-2.79, 5 W 2.80-2.81
Re (0.1666, 0.8334, 0.0000)  8 Ta 2.78-2.79
Re (0.8334, 0.1666, 0.0000)  8 Ta 2.78-2.79
W (0.1670, 0.8330, 0.5000)  8 Ta 2.80-2.81
W (0.5000, 0.5000, 0.0000)  8 Ta 2.79-2.80
W (0.5000, 0.5000, 0.5000)  8 Ta 2.80-2.81
W (0.8330, 0.1670, 0.5000)  8 Ta 2.80-2.81

Summary:
**E_form**: -227 meV per atom
**Symmetry**: Cmmm



(18)
Ta2ReW2 | GGA-PBE | optimized geometry

Lattice parameters (Å, degrees): 8.6953 8.6953 3.1781 90.00 90.00 158.72
Closest atoms and distances in Å follow each position.
Atoms (fractional coordinates):
Ta (0.0945, 0.9055, 0.0000)  4 Re 2.78, 4 W 2.81
Ta (0.9055, 0.0945, 0.0000)  4 Re 2.78, 4 W 2.81
Re (0.5000, 0.5000, 0.5000)  8 Ta 2.78
W (0.3082, 0.6918, 0.5000)  2 W 2.56, 4 Ta 2.81
W (0.6918, 0.3082, 0.5000)  2 W 2.56, 4 Ta 2.81

Summary:
**E_form**: 244 meV per atom
**Symmetry**: Cmmm



(19)
Ta6Re2W | GGA-PBE | optimized geometry

Lattice parameters (Å, degrees): 5.3865 5.3865 9.7861 107.50 107.50 34.77
Closest atoms and distances in Å follow each position.
Atoms (fractional coordinates):
Ta (0.0054, 0.0054, 0.3298)  2 Re 2.76, 6 Ta 2.82-2.86
Ta (0.3304, 0.3304, 0.4382)  2 Re 2.80, 6 Ta 2.84-2.86
Ta (0.3321, 0.3321, 0.1106)  2 Re 2.79, 4 Ta 2.80-2.82, 2 W 2.81
Ta (0.6679, 0.6679, 0.8894)  2 Re 2.79, 4 Ta 2.80-2.82, 2 W 2.81
Ta (0.6696, 0.6696, 0.5618)  2 Re 2.80, 6 Ta 2.84-2.86
Ta (0.9946, 0.9946, 0.6702)  2 Re 2.76, 6 Ta 2.82-2.86
Re (0.3353, 0.3353, 0.7825)  6 Ta 2.76-2.80, 2 W 2.78
Re (0.6647, 0.6647, 0.2175)  6 Ta 2.76-2.80, 2 W 2.78
W (0.0000, 0.0000, 0.0000)  4 Re 2.78, 4 Ta 2.81

Summary:
**E_form**: -195 meV per atom
**Symmetry**: C2/m



(20)
TaReW3 | GGA-PBE | optimized geometry

Lattice parameters (Å, degrees): 4.7099 4.7099 4.7099 90.00 90.00 90.00
Closest atoms and distances in Å follow each position.
Atoms (fractional coordinates):
Ta (0.0000, 0.0000, 0.0000)  12 W 3.33
Re (0.5000, 0.5000, 0.5000)  6 W 2.35
W (0.0000, 0.5000, 0.5000)  2 Re 2.35
W (0.5000, 0.0000, 0.5000)  2 Re 2.35
W (0.5000, 0.5000, 0.0000)  2 Re 2.35

Summary:
**E_form**: 1970 meV per atom
**Energy above the lowest structure with this stoichiometry**: 1601 meV/atom
**Symmetry**: Pm-3m



| no. | size of the total moment (μB per formula unit) |
| --- | --- |
| 1 | 0.00 |
| 2 | 0.00 |
| 3 | 0.00 |
| 4 | 0.00 |
| 5 | 0.00 |
| 6 | 0.00 |
| 7 | 0.00 |
| 8 | 0.00 |
| 9 | 0.00 |
| 10 | 0.00 |
| 11 | 0.00 |
| 12 | 1.10 |
| 13 | 0.00 |
| 14 | 0.00 |
| 15 | 0.00 |
| 16 | 0.00 |
| 17 | 0.00 |
| 18 | 0.00 |
| 19 | 0.00 |
| 20 | 0.00 |